# 1
The following is a PBE calculation of a relaxed ScAs2 crystal, from Alexandria via LeMat-Bulk.

Calculated values
DFT total energy: -5.58 eV per atom

Unit cell a=4.4862 b=4.4862 c=3.5097 alpha=90.00 beta=90.00 gamma=120.00
Element x y z (fractional)
Sc (0.0000, 0.0000, 0.0000)
As (0.3333, 0.6667, 0.5000)
As (0.6667, 0.3333, 0.5000)

# 2
The following is a PBE calculation of a relaxed ScAs2 crystal, from Alexandria via LeMat-Bulk.

Calculated values
DFT total energy: -5.74 eV per atom

Unit cell a=4.9966 b=4.9966 c=5.3952 alpha=90.00 beta=90.00 gamma=120.00
Element x y z (fractional)
Sc (0.3333, 0.6667, 0.2500)
Sc (0.6667, 0.3333, 0.7500)
As (0.0000, 0.0000, 0.0000)
As (0.0000, 0.0000, 0.5000)
As (0.3333, 0.6667, 0.7500)
As (0.6667, 0.3333, 0.2500)

# 3
The following is a PBE calculation of a relaxed ScAs4 crystal, from Alexandria via LeMat-Bulk.

Calculated values
E above lowest polymorph: 0 meV/atom
DFT total energy: -5.12 eV per atom

Unit cell a=5.3092 b=5.3092 c=5.3092 alpha=109.47 beta=109.47 gamma=109.47
Element x y z (fractional)
Sc (0.0000, 0.0000, 0.0000)
As (0.0000, 0.0000, 0.5000)
As (0.0000, 0.5000, 0.0000)
As (0.5000, 0.0000, 0.0000)
As (0.5000, 0.5000, 0.5000)

# 4
The following is a PBE calculation of a relaxed Sc3As4 crystal, from Alexandria via LeMat-Bulk.

Calculated values
E above lowest polymorph: 0 meV/atom
DFT total energy: -6.30 eV per atom

Unit cell a=11.3299 b=11.3299 c=11.3299 alpha=160.96 beta=160.96 gamma=27.05
Element x y z (fractional)
Sc (0.0000, 0.0000, 0.0000)
Sc (0.3076, 0.3076, 0.0000)
Sc (0.6924, 0.6924, 0.0000)
As (0.1812, 0.1812, 0.0000)
As (0.4449, 0.4449, 0.0000)
As (0.5551, 0.5551, 0.0000)
As (0.8188, 0.8188, 0.0000)

# 5
The following is a PBE calculation of a relaxed ScAs2 crystal, from Alexandria via LeMat-Bulk.

Calculated values
DFT total energy: -5.97 eV per atom

Unit cell a=5.1841 b=5.1841 c=7.3612 alpha=104.35 beta=104.35 gamma=41.26
Element x y z (fractional)
Sc (0.1649, 0.1649, 0.1684)
Sc (0.8351, 0.8351, 0.8316)
As (0.1715, 0.1715, 0.5469)
As (0.4436, 0.4436, 0.1377)
As (0.5564, 0.5564, 0.8623)
As (0.8285, 0.8285, 0.4531)

# 6
The following is a PBE calculation of a relaxed ScAs3 crystal, from Alexandria via LeMat-Bulk.

Calculated values
DFT total energy: -5.53 eV per atom

Unit cell a=5.3878 b=5.3878 c=5.3878 alpha=141.98 beta=72.96 gamma=120.35
Element x y z (fractional)
Sc (0.0000, 0.0000, 0.0000)
As (0.4297, 0.9297, 0.5000)
As (0.5359, 0.2402, 0.2956)
As (0.9446, 0.2402, 0.7044)

# 7
The following is a PBE calculation of a relaxed Sc4As crystal, from Alexandria via LeMat-Bulk.

Calculated values
E above lowest polymorph: 0 meV/atom
DFT total energy: -6.22 eV per atom

Unit cell a=5.0934 b=5.0934 c=5.0934 alpha=90.00 beta=90.00 gamma=90.00
Element x y z (fractional)
Sc (0.0000, 0.0000, 0.0000)
Sc (0.0000, 0.5000, 0.5000)
Sc (0.5000, 0.0000, 0.5000)
Sc (0.5000, 0.5000, 0.0000)
As (0.5000, 0.5000, 0.5000)

# 8
The following is a PBE calculation of a relaxed ScAs3 crystal, from Alexandria via LeMat-Bulk.

Calculated values
DFT total energy: -5.40 eV per atom

Unit cell a=5.8635 b=5.8635 c=10.3647 alpha=90.00 beta=90.00 gamma=120.00
Element x y z (fractional)
Sc (0.0000, 0.0000, 0.0000)
Sc (0.0000, 0.0000, 0.5000)
Sc (0.3333, 0.6667, 0.2500)
Sc (0.6667, 0.3333, 0.7500)
As (0.0000, 0.5000, 0.0000)
As (0.0000, 0.5000, 0.5000)
As (0.1590, 0.3181, 0.7500)
As (0.1590, 0.8410, 0.7500)
As (0.3181, 0.1590, 0.2500)
As (0.5000, 0.0000, 0.0000)
As (0.5000, 0.0000, 0.5000)
As (0.5000, 0.5000, 0.0000)
As (0.5000, 0.5000, 0.5000)
As (0.6819, 0.8410, 0.7500)
As (0.8410, 0.1590, 0.2500)
As (0.8410, 0.6819, 0.2500)

# 9
The following is a PBE calculation of a relaxed ScAs2 crystal, from Alexandria via LeMat-Bulk.

Calculated values
DFT total energy: -5.36 eV per atom

Unit cell a=5.6616 b=5.6616 c=8.7721 alpha=90.00 beta=90.00 gamma=120.00
Element x y z (fractional)
Sc (0.3333, 0.6667, 0.0615)
Sc (0.3333, 0.6667, 0.4385)
Sc (0.6667, 0.3333, 0.5615)
Sc (0.6667, 0.3333, 0.9385)
As (0.0000, 0.0000, 0.0000)
As (0.0000, 0.0000, 0.5000)
As (0.1775, 0.3549, 0.7500)
As (0.1775, 0.8225, 0.7500)
As (0.3549, 0.1775, 0.2500)
As (0.6451, 0.8225, 0.7500)
As (0.8225, 0.1775, 0.2500)
As (0.8225, 0.6451, 0.2500)

# 10
The following is a PBE calculation of a relaxed ScAs3 crystal, from Alexandria via LeMat-Bulk.

Calculated values
DFT total energy: -5.28 eV per atom

Unit cell a=3.3135 b=3.3135 c=7.6080 alpha=90.00 beta=90.00 gamma=107.83
Element x y z (fractional)
Sc (0.0000, 0.0000, 0.0000)
As (0.0000, 0.0000, 0.5000)
As (0.5000, 0.5000, 0.2423)
As (0.5000, 0.5000, 0.7577)

# 11
The following is a PBE calculation of a relaxed ScAs2 crystal, from Alexandria via LeMat-Bulk.

Calculated values
DFT total energy: -5.90 eV per atom

Unit cell a=4.0380 b=4.0380 c=3.9626 alpha=90.00 beta=90.00 gamma=90.00
Element x y z (fractional)
Sc (0.0000, 0.0000, 0.0000)
As (0.0000, 0.5000, 0.5000)
As (0.5000, 0.0000, 0.5000)

# 12
The following is a PBE calculation of a relaxed Sc5As crystal, from Alexandria via LeMat-Bulk.

Calculated values
E above lowest polymorph: 0 meV/atom
DFT total energy: -6.40 eV per atom

Unit cell a=5.7674 b=5.7674 c=7.6298 alpha=111.32 beta=111.32 gamma=35.41
Element x y z (fractional)
Sc (0.0000, 0.0000, 0.0000)
Sc (0.0310, 0.0310, 0.4407)
Sc (0.3108, 0.3108, 0.1678)
Sc (0.3424, 0.3424, 0.6096)
Sc (0.6712, 0.6712, 0.8041)
As (0.6714, 0.6714, 0.3051)

# 13
The following is a PBE calculation of a relaxed Sc7As3 crystal, from Alexandria via LeMat-Bulk.

Calculated values
DFT total energy: -6.72 eV per atom

Unit cell a=10.9714 b=10.9714 c=10.9714 alpha=97.74 beta=97.74 gamma=136.94
Element x y z (fractional)
Sc (0.0196, 0.6714, 0.6909)
Sc (0.0284, 0.8645, 0.5000)
Sc (0.1194, 0.1250, 0.2444)
Sc (0.1250, 0.8806, 0.0056)
Sc (0.1355, 0.6355, 0.1639)
Sc (0.1714, 0.5196, 0.6909)
Sc (0.2500, 0.2500, 0.0000)
Sc (0.2500, 0.7500, 0.5000)
Sc (0.3286, 0.0196, 0.3482)
Sc (0.3645, 0.5284, 0.5000)
Sc (0.3750, 0.3806, 0.7556)
Sc (0.3806, 0.6250, 0.0056)
Sc (0.4716, 0.9716, 0.8361)
Sc (0.4804, 0.1714, 0.6518)
Sc (0.5196, 0.8286, 0.3482)
Sc (0.5284, 0.0284, 0.1639)
Sc (0.6194, 0.3750, 0.9944)
Sc (0.6250, 0.6194, 0.2444)
Sc (0.6355, 0.4716, 0.5000)
Sc (0.6714, 0.9804, 0.6518)
Sc (0.7500, 0.2500, 0.5000)
Sc (0.7500, 0.7500, 0.0000)
Sc (0.8286, 0.4804, 0.3091)
Sc (0.8645, 0.3645, 0.8361)
Sc (0.8750, 0.1194, 0.9944)
Sc (0.8806, 0.8750, 0.7556)
Sc (0.9716, 0.1355, 0.5000)
Sc (0.9804, 0.3286, 0.3091)
As (0.0555, 0.2500, 0.8055)
As (0.2206, 0.7206, 0.9412)
As (0.2500, 0.0555, 0.8055)
As (0.2500, 0.4445, 0.1945)
As (0.2794, 0.2206, 0.5000)
As (0.4445, 0.2500, 0.1945)
As (0.5555, 0.7500, 0.8055)
As (0.7206, 0.7794, 0.5000)
As (0.7500, 0.5555, 0.8055)
As (0.7500, 0.9445, 0.1945)
As (0.7794, 0.2794, 0.0588)
As (0.9445, 0.7500, 0.1945)

# 14
The following is a PBE calculation of a relaxed Sc4As crystal, from Alexandria via LeMat-Bulk.

Calculated values
E above lowest polymorph: 140 meV/atom
DFT total energy: -6.08 eV per atom

Unit cell a=5.4728 b=5.4728 c=5.4728 alpha=109.47 beta=109.47 gamma=109.47
Element x y z (fractional)
Sc (0.0000, 0.0000, 0.5000)
Sc (0.0000, 0.5000, 0.0000)
Sc (0.5000, 0.0000, 0.0000)
Sc (0.5000, 0.5000, 0.5000)
As (0.0000, 0.0000, 0.0000)

# 15
The following is a PBE calculation of a relaxed ScAs2 crystal, from Alexandria via LeMat-Bulk.

Calculated values
DFT total energy: -5.85 eV per atom

Unit cell a=5.3635 b=5.3635 c=5.3032 alpha=103.80 beta=103.80 gamma=51.77
Element x y z (fractional)
Sc (0.0000, 0.0000, 0.0000)
Sc (0.2495, 0.2495, 0.5977)
As (0.3388, 0.3388, 0.1370)
As (0.6249, 0.6249, 0.2986)
As (0.6255, 0.6255, 0.7992)
As (0.9112, 0.9112, 0.4610)

# 16
The following is a PBE calculation of a relaxed ScAs3 crystal, from Alexandria via LeMat-Bulk.

Calculated values
DFT total energy: -5.44 eV per atom

Unit cell a=5.8894 b=5.8894 c=5.1879 alpha=90.00 beta=90.00 gamma=120.12
Element x y z (fractional)
Sc (0.1437, 0.8563, 0.7500)
Sc (0.8563, 0.1437, 0.2500)
As (0.1377, 0.3437, 0.7500)
As (0.3236, 0.6764, 0.2500)
As (0.3437, 0.1377, 0.2500)
As (0.6563, 0.8623, 0.7500)
As (0.6764, 0.3236, 0.7500)
As (0.8623, 0.6563, 0.2500)

# 17
The following is a PBE calculation of a relaxed ScAs8 crystal, from Alexandria via LeMat-Bulk.

Calculated values
DFT total energy: -4.85 eV per atom

Unit cell a=7.7248 b=7.7248 c=7.7248 alpha=92.82 beta=92.82 gamma=154.38
Element x y z (fractional)
Sc (0.0000, 0.0000, 0.0000)
As (0.0000, 0.2738, 0.2738)
As (0.0000, 0.7262, 0.7262)
As (0.2738, 0.0000, 0.2738)
As (0.3414, 0.3414, 0.6829)
As (0.3414, 0.6586, 0.0000)
As (0.6586, 0.3414, 0.0000)
As (0.6586, 0.6586, 0.3171)
As (0.7262, 0.0000, 0.7262)

# 18
The following is a PBE calculation of a relaxed Sc4As5 crystal, from Alexandria via LeMat-Bulk.

Calculated values
DFT total energy: -6.14 eV per atom

Unit cell a=6.9926 b=6.9926 c=6.9926 alpha=94.92 beta=94.92 gamma=145.93
Element x y z (fractional)
Sc (0.0000, 0.2798, 0.2798)
Sc (0.0000, 0.7202, 0.7202)
Sc (0.2798, 0.0000, 0.2798)
Sc (0.7202, 0.0000, 0.7202)
As (0.0000, 0.0000, 0.0000)
As (0.3185, 0.3185, 0.6370)
As (0.3185, 0.6815, 0.0000)
As (0.6815, 0.3185, 0.0000)
As (0.6815, 0.6815, 0.3630)

# 19
The following is a PBE calculation of a relaxed ScAs3 crystal, from Alexandria via LeMat-Bulk.

Calculated values
DFT total energy: -5.18 eV per atom

Unit cell a=4.8170 b=4.8170 c=4.8170 alpha=60.00 beta=60.00 gamma=60.00
Element x y z (fractional)
Sc (0.0000, 0.0000, 0.0000)
As (0.2500, 0.2500, 0.2500)
As (0.5000, 0.5000, 0.5000)
As (0.7500, 0.7500, 0.7500)

# 20
The following is a PBE calculation of a relaxed ScAs3 crystal, from Alexandria via LeMat-Bulk.

Calculated values
DFT total energy: -5.34 eV per atom

Unit cell a=3.8803 b=3.8803 c=6.6900 alpha=90.00 beta=90.00 gamma=120.00
Element x y z (fractional)
Sc (0.0000, 0.0000, 0.0000)
As (0.0000, 0.0000, 0.5000)
As (0.3333, 0.6667, 0.2403)
As (0.3333, 0.6667, 0.7597)